[1]
# GGA-PBEsol BaY3F, optimized geometry
# **SG**: No. 221
# **Crystal system**: cubic
# **Uncorrected formation energy**: 0.926 eV/atom
# **Spin magnetization**: 0.00 μB/f.u.
data_BaY3F
_chemical_formula_sum 'Ba1 Y3 F1'
_symmetry_space_group_name_H-M 'P 1'
_symmetry_Int_Tables_number 1
_symmetry_space_group_name_Hall 'P 1'
_cell_length_a 5.6610
_cell_length_b 5.6610
_cell_length_c 5.6610
_cell_angle_alpha 90.00
_cell_angle_beta 90.00
_cell_angle_gamma 90.00
loop_
_atom_site_label
_atom_site_type_symbol
_atom_site_fract_x
_atom_site_fract_y
_atom_site_fract_z
Ba1 Ba 0.0000 0.0000 0.0000
Y1 Y 0.0000 0.0000 0.5000
Y2 Y 0.0000 0.5000 0.0000
Y3 Y 0.5000 0.0000 0.0000
F1 F 0.5000 0.5000 0.5000

=====

[2]
# GGA-PBEsol Ba2YF7, optimized geometry
# **SG**: No. 14
# **Energy above the most stable polymorph in this dataset**: 0 meV per atom
# **Crystal system**: monoclinic
# **Uncorrected formation energy**: -4.017 eV/atom
# **Spin magnetization**: 0.11 μB/f.u.
data_Ba2YF7
_chemical_formula_sum 'Ba8 Y4 F28'
_symmetry_space_group_name_H-M 'P 1'
_symmetry_Int_Tables_number 1
_symmetry_space_group_name_Hall 'P 1'
_cell_length_a 5.7737
_cell_length_b 12.9743
_cell_length_c 8.7423
_cell_angle_alpha 90.00
_cell_angle_beta 90.69
_cell_angle_gamma 90.00
loop_
_atom_site_label
_atom_site_type_symbol
_atom_site_fract_x
_atom_site_fract_y
_atom_site_fract_z
Ba1 Ba 0.2378 0.2216 0.4410
Ba2 Ba 0.2378 0.2784 0.9410
Ba3 Ba 0.2389 0.5634 0.3269
Ba4 Ba 0.2389 0.9366 0.8269
Ba5 Ba 0.7611 0.0634 0.1731
Ba6 Ba 0.7611 0.4366 0.6731
Ba7 Ba 0.7622 0.7216 0.0590
Ba8 Ba 0.7622 0.7784 0.5590
Y1 Y 0.2759 0.6236 0.7914
Y2 Y 0.2759 0.8764 0.2914
Y3 Y 0.7241 0.1236 0.7086
Y4 Y 0.7241 0.3764 0.2086
F1 F 0.0181 0.7478 0.3108
F2 F 0.0181 0.7522 0.8108
F3 F 0.0189 0.6042 0.5966
F4 F 0.0189 0.8958 0.0966
F5 F 0.2026 0.0416 0.2878
F6 F 0.2026 0.4584 0.7878
F7 F 0.2101 0.6401 0.0364
F8 F 0.2101 0.8599 0.5364
F9 F 0.3780 0.0727 0.6260
F10 F 0.3780 0.4274 0.1260
F11 F 0.4911 0.6045 0.5822
F12 F 0.4914 0.7340 0.3044
F13 F 0.4914 0.7660 0.8044
F14 F 0.4911 0.8955 0.0822
F15 F 0.5089 0.1045 0.9178
F16 F 0.5086 0.2340 0.1956
F17 F 0.5086 0.2660 0.6956
F18 F 0.5089 0.3955 0.4178
F19 F 0.6220 0.5726 0.8740
F20 F 0.6220 0.9274 0.3740
F21 F 0.7899 0.1401 0.4636
F22 F 0.7899 0.3599 0.9636
F23 F 0.7974 0.5416 0.2122
F24 F 0.7974 0.9584 0.7122
F25 F 0.9811 0.1042 0.9034
F26 F 0.9811 0.3958 0.4034
F27 F 0.9819 0.2478 0.1892
F28 F 0.9819 0.2522 0.6892

=====

[3]
# GGA-PBEsol BaYF5, optimized geometry
# **SG**: No. 123
# **Energy above the most stable polymorph in this dataset**: 0 meV per atom
# **Crystal system**: tetragonal
# **Uncorrected formation energy**: -4.053 eV/atom
# **Spin magnetization**: 0.07 μB/f.u.
data_BaYF5
_chemical_formula_sum 'Ba1 Y1 F5'
_symmetry_space_group_name_H-M 'P 1'
_symmetry_Int_Tables_number 1
_symmetry_space_group_name_Hall 'P 1'
_cell_length_a 3.8386
_cell_length_b 3.8386
_cell_length_c 6.6020
_cell_angle_alpha 90.00
_cell_angle_beta 90.00
_cell_angle_gamma 90.00
loop_
_atom_site_label
_atom_site_type_symbol
_atom_site_fract_x
_atom_site_fract_y
_atom_site_fract_z
Ba1 Ba 0.0000 0.0000 0.0000
Y1 Y 0.5000 0.5000 0.5000
F1 F 0.0000 0.5000 0.3134
F2 F 0.0000 0.5000 0.6866
F3 F 0.5000 0.0000 0.3134
F4 F 0.5000 0.0000 0.6866
F5 F 0.5000 0.5000 0.0000

=====

[4]
# GGA-PBEsol Ba3Y2F12, optimized geometry
# **SG**: No. 127
# **Energy above the most stable polymorph in this dataset**: 0 meV per atom
# **Crystal system**: tetragonal
# **Uncorrected formation energy**: -4.030 eV/atom
# **Spin magnetization**: 0.15 μB/f.u.
data_Ba3Y2F12
_chemical_formula_sum 'Ba6 Y4 F24'
_symmetry_space_group_name_H-M 'P 1'
_symmetry_Int_Tables_number 1
_symmetry_space_group_name_Hall 'P 1'
_cell_length_a 9.5955
_cell_length_b 9.5955
_cell_length_c 5.7137
_cell_angle_alpha 90.00
_cell_angle_beta 90.00
_cell_angle_gamma 90.00
loop_
_atom_site_label
_atom_site_type_symbol
_atom_site_fract_x
_atom_site_fract_y
_atom_site_fract_z
Ba1 Ba 0.0000 0.0000 0.0000
Ba2 Ba 0.1787 0.3213 0.5000
Ba3 Ba 0.3213 0.8213 0.5000
Ba4 Ba 0.5000 0.5000 0.0000
Ba5 Ba 0.6787 0.1787 0.5000
Ba6 Ba 0.8213 0.6787 0.5000
Y1 Y 0.1337 0.6337 0.0000
Y2 Y 0.3663 0.1337 0.0000
Y3 Y 0.6337 0.8663 0.0000
Y4 Y 0.8663 0.3663 0.0000
F1 F 0.0000 0.5000 0.2338
F2 F 0.0000 0.5000 0.7662
F3 F 0.0601 0.7808 0.2624
F4 F 0.0601 0.7808 0.7376
F5 F 0.1990 0.3010 0.0000
F6 F 0.2192 0.0601 0.2624
F7 F 0.2192 0.0601 0.7376
F8 F 0.2808 0.5601 0.2624
F9 F 0.2808 0.5601 0.7376
F10 F 0.3010 0.8010 0.0000
F11 F 0.4399 0.2808 0.2624
F12 F 0.4399 0.2808 0.7376
F13 F 0.5000 0.0000 0.2338
F14 F 0.5000 0.0000 0.7662
F15 F 0.5601 0.7192 0.2624
F16 F 0.5601 0.7192 0.7376
F17 F 0.6990 0.1990 0.0000
F18 F 0.7192 0.4399 0.2624
F19 F 0.7192 0.4399 0.7376
F20 F 0.7808 0.9399 0.2624
F21 F 0.7808 0.9399 0.7376
F22 F 0.8010 0.6990 0.0000
F23 F 0.9399 0.2192 0.2624
F24 F 0.9399 0.2192 0.7376